{
  "formula": "CoC",
  "functional": "PBE",
  "state": "relaxed",
  "dos_at_fermi_per_ev_cell": 4.23,
  "space_group": "No. 191",
  "ef_ev_per_fu": 2.4,
  "final_energy_ev_per_atom": -6.966,
  "lattice": [[4.359, 0.000, 0.000], [-2.180, 3.775, 0.000], [0.000, 0.000, 3.059]],
  "species": ["Co", "Co", "Co", "C", "C", "C"],
  "fractional_positions": [[0.000, 0.000, 0.000], [0.333, 0.667, 0.500], [0.667, 0.333, 0.500], [0.000, 0.500, 0.000], [0.500, 0.000, 0.000], [0.500, 0.500, 0.000]]
}

=====

{
  "formula": "Co3C",
  "functional": "PBE",
  "state": "relaxed",
  "dos_at_fermi_per_ev_cell": 4.52,
  "space_group": "No. 123",
  "ef_ev_per_fu": 3.7,
  "final_energy_ev_per_atom": -6.710,
  "lattice": [[3.778, 0.000, 0.000], [0.000, 3.778, 0.000], [0.000, 0.000, 2.688]],
  "species": ["Co", "Co", "Co", "C"],
  "fractional_positions": [[0.000, 0.000, 0.000], [0.000, 0.500, 0.500], [0.500, 0.000, 0.500], [0.500, 0.500, 0.000]]
}